SnSbPdAu: optimized geometry, PBE.

a b c (Å): 4.279 4.279 5.650
angles (deg): 90.00 90.00 120.00
Atoms (fractional coordinates):
Sn 0.333 0.667 0.788
Sb 0.667 0.333 0.245
Pd 0.000 0.000 0.019
Au 0.000 0.000 0.519

## Properties
total DFT energy (no corrections): -4.46 eV per atom
space-group type: P3m1, No. 156